1.
# RhS2O8F PBE optimized geometry
# E_form (uncorrected) in eV per atom: -0.8310
# Fermi-level density of states in states/eV per cell: 16.2
data_RhS2O8F
_space_group_name_H-M_alt 'C 1 2/m 1'
_space_group_IT_number 12
_space_group_name_Hall '-C 2y'
_cell_length_a 8.1541
_cell_length_b 5.1922
_cell_length_c 7.5082
_cell_angle_alpha 90.00
_cell_angle_beta 98.94
_cell_angle_gamma 90.00
loop_
_atom_site_label
_atom_site_type_symbol
_atom_site_fract_x
_atom_site_fract_y
_atom_site_fract_z
_atom_site_occupancy
Rh1 Rh 0.0000 0.0000 0.0000 1
S1 S 0.1186 0.5000 0.7917 1
O1 O 0.0049 0.2686 0.8085 1
O2 O 0.1770 0.5000 0.6231 1
O3 O 0.2479 0.5000 0.9604 1
F1 F 0.0000 0.0000 0.5000 1

***

2.
# Pr2MgSc PBE optimized geometry
# DFT formation energy in eV/atom: -0.006
# Polymorph energy (0 for the lowest one) in eV per atom: 0.000
# Fermi-level density of states in states/eV per cell: 6.2
data_Pr2MgSc
_space_group_name_H-M_alt 'P 4/m m m'
_space_group_IT_number 123
_space_group_name_Hall '-P 4 2'
_cell_length_a 3.7590
_cell_length_b 3.7590
_cell_length_c 8.5538
_cell_angle_alpha 90.00
_cell_angle_beta 90.00
_cell_angle_gamma 90.00
loop_
_atom_site_label
_atom_site_type_symbol
_atom_site_fract_x
_atom_site_fract_y
_atom_site_fract_z
_atom_site_occupancy
Pr1 Pr 0.0000 0.0000 0.2473 1
Mg1 Mg 0.5000 0.5000 0.0000 1
Sc1 Sc 0.5000 0.5000 0.5000 1

***

3.
# Ba2LaSc PBE optimized geometry
# DFT formation energy in eV/atom: 0.352
# Polymorph energy (0 for the lowest one) in eV per atom: 0.185
# Fermi-level density of states in states/eV per cell: 8.2
data_Ba2LaSc
_space_group_name_H-M_alt 'P 1 2/m 1'
_space_group_IT_number 10
_space_group_name_Hall '-P 2y'
_cell_length_a 3.8350
_cell_length_b 5.7043
_cell_length_c 7.6695
_cell_angle_alpha 90.00
_cell_angle_beta 90.58
_cell_angle_gamma 90.00
loop_
_atom_site_label
_atom_site_type_symbol
_atom_site_fract_x
_atom_site_fract_y
_atom_site_fract_z
_atom_site_occupancy
Ba1 Ba 0.0025 0.0000 0.2568 1
La1 La 0.5000 0.5000 0.0000 1
Sc1 Sc 0.5000 0.5000 0.5000 1

***

4.
# Tl2HgI PBE optimized geometry
# E_form (uncorrected) in eV per atom: -0.2431
# Polymorph energy (0 for the lowest one) in eV per atom: 0.000
# Fermi-level density of states in states/eV per cell: 1.0
data_Tl2HgI
_space_group_name_H-M_alt 'P 4/m m m'
_space_group_IT_number 123
_space_group_name_Hall '-P 4 2'
_cell_length_a 4.2306
_cell_length_b 4.2306
_cell_length_c 7.5223
_cell_angle_alpha 90.00
_cell_angle_beta 90.00
_cell_angle_gamma 90.00
loop_
_atom_site_label
_atom_site_type_symbol
_atom_site_fract_x
_atom_site_fract_y
_atom_site_fract_z
_atom_site_occupancy
Tl1 Tl 0.0000 0.0000 0.2311 1
Hg1 Hg 0.5000 0.5000 0.0000 1
I1 I 0.5000 0.5000 0.5000 1

***

5.
# YZnSi2 PBE optimized geometry
# E_form (uncorrected) in eV per atom: -0.2937
# Fermi-level density of states in states/eV per cell: 2.3
data_YZnSi2
_space_group_name_H-M_alt 'I m m 2'
_space_group_IT_number 44
_space_group_name_Hall 'I 2 -2'
_cell_length_a 3.7717
_cell_length_b 4.0080
_cell_length_c 9.8912
_cell_angle_alpha 90.00
_cell_angle_beta 90.00
_cell_angle_gamma 90.00
loop_
_atom_site_label
_atom_site_type_symbol
_atom_site_fract_x
_atom_site_fract_y
_atom_site_fract_z
_atom_site_occupancy
Y1 Y 0.0000 0.0000 0.0000 1
Zn1 Zn 0.0000 0.5000 0.7657 1
Si1 Si 0.0000 0.0000 0.5882 1
Si2 Si 0.0000 0.5000 0.2584 1

***

6.
# PrNd2DyH PBE optimized geometry
# Fermi-level density of states in states/eV per cell: 4.2
# Total energy in eV per atom: -4.6277
data_PrNd2DyH
_space_group_name_H-M_alt 'P 4/m m m'
_space_group_IT_number 123
_space_group_name_Hall '-P 4 2'
_cell_length_a 5.1590
_cell_length_b 5.1590
_cell_length_c 5.1047
_cell_angle_alpha 90.00
_cell_angle_beta 90.00
_cell_angle_gamma 90.00
loop_
_atom_site_label
_atom_site_type_symbol
_atom_site_fract_x
_atom_site_fract_y
_atom_site_fract_z
_atom_site_occupancy
Pr1 Pr 0.0000 0.0000 0.0000 1
Nd1 Nd 0.0000 0.5000 0.5000 1
Dy1 Dy 0.5000 0.5000 0.0000 1
H1 H 0.5000 0.5000 0.5000 1

***

7.
# CdAgAuCl2 PBE optimized geometry
# E_form (uncorrected) in eV per atom: 0.0637
# Fermi-level density of states in states/eV per cell: 2.4
data_CdAgAuCl2
_space_group_name_H-M_alt 'P 4/m m m'
_space_group_IT_number 123
_space_group_name_Hall '-P 4 2'
_cell_length_a 4.8776
_cell_length_b 4.8776
_cell_length_c 5.6074
_cell_angle_alpha 90.00
_cell_angle_beta 90.00
_cell_angle_gamma 90.00
loop_
_atom_site_label
_atom_site_type_symbol
_atom_site_fract_x
_atom_site_fract_y
_atom_site_fract_z
_atom_site_occupancy
Cd1 Cd 0.0000 0.0000 0.0000 1
Ag1 Ag 0.5000 0.5000 0.5000 1
Au1 Au 0.5000 0.5000 0.0000 1
Cl1 Cl 0.0000 0.5000 0.5000 1

***

8.
# PrSm2In3 PBE optimized geometry
# DFT formation energy in eV/atom: -0.494
# Polymorph energy (0 for the lowest one) in eV per atom: 0.000
# Fermi-level density of states in states/eV per cell: 11.5
data_PrSm2In3
_space_group_name_H-M_alt 'C m m m'
_space_group_IT_number 65
_space_group_name_Hall '-C 2 2'
_cell_length_a 5.4559
_cell_length_b 16.3652
_cell_length_c 7.7033
_cell_angle_alpha 90.00
_cell_angle_beta 90.00
_cell_angle_gamma 90.00
loop_
_atom_site_label
_atom_site_type_symbol
_atom_site_fract_x
_atom_site_fract_y
_atom_site_fract_z
_atom_site_occupancy
Pr1 Pr 0.0000 0.1663 0.0000 1
Sm1 Sm 0.0000 0.1682 0.5000 1
Sm2 Sm 0.0000 0.5000 0.0000 1
Sm3 Sm 0.0000 0.5000 0.5000 1
In1 In 0.0000 0.0000 0.2557 1
In2 In 0.0000 0.3350 0.2549 1

***

9.
# KFe2Os PBE optimized geometry
# DFT formation energy in eV/atom: 0.804
# Polymorph energy (0 for the lowest one) in eV per atom: 0.102
# Fermi-level density of states in states/eV per cell: 8.7
data_KFe2Os
_space_group_name_H-M_alt 'C 1 2/m 1'
_space_group_IT_number 12
_space_group_name_Hall '-C 2y'
_cell_length_a 8.6967
_cell_length_b 2.7297
_cell_length_c 6.7656
_cell_angle_alpha 90.00
_cell_angle_beta 93.93
_cell_angle_gamma 90.00
loop_
_atom_site_label
_atom_site_type_symbol
_atom_site_fract_x
_atom_site_fract_y
_atom_site_fract_z
_atom_site_occupancy
K1 K 0.0000 0.0000 0.0000 1
Fe1 Fe 0.2334 0.0000 0.6320 1
Os1 Os 0.0000 0.5000 0.5000 1

***

10.
# LiPr2Ag3 PBE optimized geometry
# DFT formation energy in eV/atom: -0.208
# Fermi-level density of states in states/eV per cell: 46.9
data_LiPr2Ag3
_space_group_name_H-M_alt 'F m m m'
_space_group_IT_number 69
_space_group_name_Hall '-F 2 2'
_cell_length_a 7.0701
_cell_length_b 9.6737
_cell_length_c 16.7278
_cell_angle_alpha 90.00
_cell_angle_beta 90.00
_cell_angle_gamma 90.00
loop_
_atom_site_label
_atom_site_type_symbol
_atom_site_fract_x
_atom_site_fract_y
_atom_site_fract_z
_atom_site_occupancy
Li1 Li 0.0000 0.0000 0.1672 1
Pr1 Pr 0.2466 0.0000 0.5000 1
Pr2 Pr 0.2500 0.2500 0.2500 1
Ag1 Ag 0.0000 0.0000 0.3292 1
Ag2 Ag 0.0000 0.2425 0.0856 1

***

11.
# PaPt8 PBE optimized geometry
# DFT formation energy in eV/atom: -0.538
# Fermi-level density of states in states/eV per cell: 18.3
data_PaPt8
_space_group_name_H-M_alt 'I 4/m m m'
_space_group_IT_number 139
_space_group_name_Hall '-I 4 2'
_cell_length_a 8.5720
_cell_length_b 8.5720
_cell_length_c 4.1169
_cell_angle_alpha 90.00
_cell_angle_beta 90.00
_cell_angle_gamma 90.00
loop_
_atom_site_label
_atom_site_type_symbol
_atom_site_fract_x
_atom_site_fract_y
_atom_site_fract_z
_atom_site_occupancy
Pa1 Pa 0.0000 0.0000 0.0000 1
Pt1 Pt 0.0000 0.3334 0.0000 1
Pt2 Pt 0.1667 0.1667 0.5000 1

***

12.
# AlSi2Au PBE optimized geometry
# E_form (uncorrected) in eV per atom: 0.2409
# Fermi-level density of states in states/eV per cell: 2.0
data_AlSi2Au
_space_group_name_H-M_alt 'I -4 m 2'
_space_group_IT_number 119
_space_group_name_Hall 'I -4 -2'
_cell_length_a 4.1750
_cell_length_b 4.1750
_cell_length_c 7.4862
_cell_angle_alpha 90.00
_cell_angle_beta 90.00
_cell_angle_gamma 90.00
loop_
_atom_site_label
_atom_site_type_symbol
_atom_site_fract_x
_atom_site_fract_y
_atom_site_fract_z
_atom_site_occupancy
Al1 Al 0.0000 0.0000 0.0000 1
Si1 Si 0.0000 0.0000 0.5000 1
Si2 Si 0.0000 0.5000 0.2500 1
Au1 Au 0.0000 0.5000 0.7500 1

***

13.
# LaCeDyPb PBE optimized geometry
# DFT formation energy in eV/atom: -0.083
# Fermi-level density of states in states/eV per cell: 36.1
data_LaCeDyPb
_space_group_name_H-M_alt 'F -4 3 m'
_space_group_IT_number 216
_space_group_name_Hall 'F -4 2 3'
_cell_length_a 7.8507
_cell_length_b 7.8507
_cell_length_c 7.8507
_cell_angle_alpha 90.00
_cell_angle_beta 90.00
_cell_angle_gamma 90.00
loop_
_atom_site_label
_atom_site_type_symbol
_atom_site_fract_x
_atom_site_fract_y
_atom_site_fract_z
_atom_site_occupancy
La1 La 0.0000 0.0000 0.0000 1
Ce1 Ce 0.2500 0.2500 0.2500 1
Dy1 Dy 0.0000 0.0000 0.5000 1
Pb1 Pb 0.2500 0.2500 0.7500 1

***

14.
# CaTc2Mo PBE optimized geometry
# DFT formation energy in eV/atom: 0.518
# Polymorph energy (0 for the lowest one) in eV per atom: 0.194
# Fermi-level density of states in states/eV per cell: 7.1
data_CaTc2Mo
_space_group_name_H-M_alt 'I m m m'
_space_group_IT_number 71
_space_group_name_Hall '-I 2 2'
_cell_length_a 3.1481
_cell_length_b 4.9107
_cell_length_c 8.9809
_cell_angle_alpha 90.00
_cell_angle_beta 90.00
_cell_angle_gamma 90.00
loop_
_atom_site_label
_atom_site_type_symbol
_atom_site_fract_x
_atom_site_fract_y
_atom_site_fract_z
_atom_site_occupancy
Ca1 Ca 0.0000 0.0000 0.0000 1
Tc1 Tc 0.0000 0.5000 0.2270 1
Mo1 Mo 0.0000 0.0000 0.5000 1

***

15.
# Tl2Se2S5 PBE optimized geometry
# E_form (uncorrected) in eV per atom: 0.0953
# Polymorph energy (0 for the lowest one) in eV per atom: 0.080
# Fermi-level density of states in states/eV per cell: 5.2
data_Tl2Se2S5
_space_group_name_H-M_alt 'C 1 2/m 1'
_space_group_IT_number 12
_space_group_name_Hall '-C 2y'
_cell_length_a 15.1270
_cell_length_b 5.1800
_cell_length_c 6.5008
_cell_angle_alpha 90.00
_cell_angle_beta 105.60
_cell_angle_gamma 90.00
loop_
_atom_site_label
_atom_site_type_symbol
_atom_site_fract_x
_atom_site_fract_y
_atom_site_fract_z
_atom_site_occupancy
Tl1 Tl 0.0601 0.0000 0.3015 1
Se1 Se 0.1591 0.5000 0.9038 1
S1 S 0.0000 0.5000 0.0000 1
S2 S 0.1284 0.5000 0.5655 1
S3 S 0.1638 0.0000 0.9612 1

***

16.
# TbDy2Cd PBE optimized geometry
# DFT formation energy in eV/atom: -0.147
# Polymorph energy (0 for the lowest one) in eV per atom: 0.000
# Fermi-level density of states in states/eV per cell: 4.6
data_TbDy2Cd
_space_group_name_H-M_alt 'P 4/m m m'
_space_group_IT_number 123
_space_group_name_Hall '-P 4 2'
_cell_length_a 3.5836
_cell_length_b 3.5836
_cell_length_c 9.0502
_cell_angle_alpha 90.00
_cell_angle_beta 90.00
_cell_angle_gamma 90.00
loop_
_atom_site_label
_atom_site_type_symbol
_atom_site_fract_x
_atom_site_fract_y
_atom_site_fract_z
_atom_site_occupancy
Tb1 Tb 0.0000 0.0000 0.0000 1
Dy1 Dy 0.5000 0.5000 0.2729 1
Cd1 Cd 0.0000 0.0000 0.5000 1

***

17.
# CuOsW PBE optimized geometry
# DFT formation energy in eV/atom: 0.227
# Polymorph energy (0 for the lowest one) in eV per atom: 0.068
# Fermi-level density of states in states/eV per cell: 4.7
data_CuOsW
_space_group_name_H-M_alt 'I 4 m m'
_space_group_IT_number 107
_space_group_name_Hall 'I 4 -2'
_cell_length_a 3.1801
_cell_length_b 3.1801
_cell_length_c 8.4627
_cell_angle_alpha 90.00
_cell_angle_beta 90.00
_cell_angle_gamma 90.00
loop_
_atom_site_label
_atom_site_type_symbol
_atom_site_fract_x
_atom_site_fract_y
_atom_site_fract_z
_atom_site_occupancy
Cu1 Cu 0.0000 0.0000 0.0000 1
Os1 Os 0.0000 0.0000 0.6661 1
W1 W 0.0000 0.0000 0.3315 1

***

18.
# MnSi2Mo PBE optimized geometry
# E_form (uncorrected) in eV per atom: -0.1109
# Fermi-level density of states in states/eV per cell: 5.5
data_MnSi2Mo
_space_group_name_H-M_alt 'C 1 2/m 1'
_space_group_IT_number 12
_space_group_name_Hall '-C 2y'
_cell_length_a 8.1145
_cell_length_b 2.6884
_cell_length_c 4.9808
_cell_angle_alpha 90.00
_cell_angle_beta 101.71
_cell_angle_gamma 90.00
loop_
_atom_site_label
_atom_site_type_symbol
_atom_site_fract_x
_atom_site_fract_y
_atom_site_fract_z
_atom_site_occupancy
Mn1 Mn 0.0000 0.0000 0.0000 1
Si1 Si 0.2426 0.5000 0.2247 1
Mo1 Mo 0.0000 0.5000 0.5000 1

***

19.
# BaPt PBE optimized geometry
# DFT formation energy in eV/atom: -0.290
# Fermi-level density of states in states/eV per cell: 2.0
data_BaPt
_space_group_name_H-M_alt 'I -4 3 m'
_space_group_IT_number 217
_space_group_name_Hall 'I -4 2 3'
_cell_length_a 9.3603
_cell_length_b 9.3603
_cell_length_c 9.3603
_cell_angle_alpha 90.00
_cell_angle_beta 90.00
_cell_angle_gamma 90.00
loop_
_atom_site_label
_atom_site_type_symbol
_atom_site_fract_x
_atom_site_fract_y
_atom_site_fract_z
_atom_site_occupancy
Ba1 Ba 0.1978 0.1978 0.1978 1
Pt1 Pt 0.1109 0.1109 0.8891 1

***

20.
# La7Sm2Ho2 PBE optimized geometry
# DFT formation energy in eV/atom: 0.115
# Fermi-level density of states in states/eV per cell: 34.1
data_La7Sm2Ho2
_space_group_name_H-M_alt 'C 1 2/m 1'
_space_group_IT_number 12
_space_group_name_Hall '-C 2y'
_cell_length_a 11.6023
_cell_length_b 11.6301
_cell_length_c 6.2248
_cell_angle_alpha 90.00
_cell_angle_beta 111.52
_cell_angle_gamma 90.00
loop_
_atom_site_label
_atom_site_type_symbol
_atom_site_fract_x
_atom_site_fract_y
_atom_site_fract_z
_atom_site_occupancy
La1 La 0.0000 0.0000 0.0000 1
La2 La 0.0745 0.5000 0.8012 1
La3 La 0.1850 0.2318 0.1814 1
Sm1 Sm 0.2266 0.0000 0.5928 1
Ho1 Ho 0.0000 0.2129 0.5000 1